DFT (GGA-PBE) results for a geometry-optimized Re2SiAu structure.

Unit cell a=3.056 b=4.409 c=8.796 alpha=90.00 beta=90.00 gamma=90.00
Space group Imm2 (No. 44)
Asymmetric unit:
1 Re 0.000 0.000 0.000 (multiplicity 2)
2 Re 0.000 0.500 0.234 (multiplicity 2)
3 Si 0.000 0.500 0.721 (multiplicity 2)
4 Au 0.000 0.000 0.453 (multiplicity 2)

Calculated values
Crystal system: orthorhombic
M_tot in μB/f.u.: 0.00
E_tot in eV/atom: -8.1122